No. 1
# KFePb2F8 | Alexandria via LeMat-Bulk | GGA+U | relaxed
data_KFePb2F8
_chemical_formula_sum 'K1 Fe1 Pb2 F8'
_symmetry_space_group_name_H-M 'P -1'
_symmetry_Int_Tables_number 2
_symmetry_space_group_name_Hall '-P 1'
_cell_length_a 4.988
_cell_length_b 5.489
_cell_length_c 7.679
_cell_angle_alpha 90.70
_cell_angle_beta 90.37
_cell_angle_gamma 90.69
loop_
_atom_site_label
_atom_site_type_symbol
_atom_site_fract_x
_atom_site_fract_y
_atom_site_fract_z
_atom_site_occupancy
K1 K 0.000 0.000 0.000 1
Fe1 Fe 0.000 0.000 0.500 1
Pb1 Pb 0.465 0.480 0.741 1
F1 F 0.118 0.762 0.317 1
F2 F 0.182 0.835 0.691 1
F3 F 0.302 0.224 0.459 1
F4 F 0.395 0.281 0.022 1
# * DOS(E_F): 0.00 states/eV per cell
# * V: 17.52 Å³ per atom
# * E: -58.89 eV/cell


No. 2
# Sr2RuWO6 | Alexandria via LeMat-Bulk | GGA+U | relaxed
data_Sr2RuWO6
_chemical_formula_sum 'Sr8 Ru4 W4 O24'
_symmetry_space_group_name_H-M 'F m -3 m'
_symmetry_Int_Tables_number 225
_symmetry_space_group_name_Hall '-F 4 2 3'
_cell_length_a 8.041
_cell_length_b 8.041
_cell_length_c 8.041
_cell_angle_alpha 90.00
_cell_angle_beta 90.00
_cell_angle_gamma 90.00
loop_
_atom_site_label
_atom_site_type_symbol
_atom_site_fract_x
_atom_site_fract_y
_atom_site_fract_z
_atom_site_occupancy
Sr1 Sr 0.250 0.250 0.250 1
Ru1 Ru 0.000 0.000 0.000 1
W1 W 0.000 0.000 0.500 1
O1 O 0.000 0.000 0.257 1
# * V: 13.00 Å³ per atom
# * E: -283.74 eV/cell


What did the first record say?
# KFePb2F8 | Alexandria via LeMat-Bulk | GGA+U | relaxed
data_KFePb2F8
_chemical_formula_sum 'K1 Fe1 Pb2 F8'
_symmetry_space_group_name_H-M 'P -1'
_symmetry_Int_Tables_number 2
_symmetry_space_group_name_Hall '-P 1'
_cell_length_a 4.988
_cell_length_b 5.489
_cell_length_c 7.679
_cell_angle_alpha 90.70
_cell_angle_beta 90.37
_cell_angle_gamma 90.69
loop_
_atom_site_label
_atom_site_type_symbol
_atom_site_fract_x
_atom_site_fract_y
_atom_site_fract_z
_atom_site_occupancy
K1 K 0.000 0.000 0.000 1
Fe1 Fe 0.000 0.000 0.500 1
Pb1 Pb 0.465 0.480 0.741 1
F1 F 0.118 0.762 0.317 1
F2 F 0.182 0.835 0.691 1
F3 F 0.302 0.224 0.459 1
F4 F 0.395 0.281 0.022 1
# * DOS(E_F): 0.00 states/eV per cell
# * V: 17.52 Å³ per atom
# * E: -58.89 eV/cell


Question: Look up the V of the first one.
Answer: 17.52 Å³ per atom